VASP calculation (GGA-PBE) on a relaxed structure of CsGe6P8.

density of states at the Fermi level: 1.67 states/eV per cell
ΔE_f: 119 meV per atom
space-group type: No. 148
crystal system: trigonal

Structure (POSCAR):
```
CsGe6P8
1.0
-6.7569 -2.2872 2.3269
1.0692 -0.9724 7.3629
-2.9204 6.2737 2.9005
Ge P Cs
6 8 1
Direct
0.6625 0.4685 0.8501
0.5315 0.1499 0.3375
0.4685 0.8501 0.6625
0.1499 0.3375 0.5315
0.8501 0.6625 0.4685
0.3375 0.5315 0.1499
0.5767 0.8161 0.3405
0.3405 0.5767 0.8161
0.2380 0.2380 0.2380
0.4233 0.1839 0.6595
0.1839 0.6595 0.4233
0.6595 0.4233 0.1839
0.8161 0.3405 0.5767
0.7620 0.7620 0.7620
0.0000 0.0000 0.0000
```